Here is TlInAgI2 after structural relaxation from Alexandria via LeMat-Bulk. Energies are from PBE-GGA.

abc: 6.3934 6.3934 5.7543
angles: 90.00 90.00 90.00
Closest atoms and distances in Å follow each position.
Space group P4/mmm (No. 123)
Unique sites:
1 Tl 0.0000 0.0000 0.0000 (multiplicity 1)  2 In 2.88, 4 I 3.20
2 In 0.0000 0.0000 0.5000 (multiplicity 1)  2 Tl 2.88
3 Ag 0.5000 0.5000 0.5000 (multiplicity 1)  8 I 4.30, 4 In 4.52
4 I 0.0000 0.5000 0.0000 (multiplicity 2)  2 Tl 3.20

Calculated values
M_tot, μB/f.u.: 0.41
Formation energy from raw total energies, meV per atom: 286
N(E_F), states/eV per atom: 0.927
VASP energy, eV/atom: -1.9255